(1)
DyPb | the Open Quantum Materials Database | PBE | optimized geometry; calculated density = 9.92 g/cm³; M_tot = 0.00 μB per cell; VASP energy = -9.0 eV/cell
1.0
4.057 1.802 -0.034
1.048 3.164 2.933
2.847 -0.879 3.291
Pb Dy
1 1
Cartesian
3.976 2.044 3.095
0.000 0.000 0.000


(2)
Lu2HfTc | the Open Quantum Materials Database | PBE | optimized geometry; calculated density = 12.06 g/cm³; M_tot = 0.01 μB per cell; ΔH_f (0 K) = 9 kJ/mol of atoms; VASP energy = -29.0 eV/cell
1.0
-1.579 -3.047 3.579
-3.829 1.314 2.864
-4.356 -2.324 -0.465
Lu Hf Tc
2 1 1
Cartesian
-2.441 -1.014 1.495
-4.882 -2.029 2.989
-7.323 -3.043 4.484
0.000 0.000 0.000


(3)
PmSmNO | the Open Quantum Materials Database | PBE | optimized geometry; calculated density = 6.92 g/cm³; M_tot = 0.08 μB per cell; polymorph energy (0 for the lowest one) = 0.103 eV per atom; VASP energy = -61.2 eV/cell
1.0
3.955 0.000 0.000
0.000 5.790 0.000
0.000 0.000 6.817
Sm O Pm N
2 2 2 2
Cartesian
0.000 5.720 4.571
0.000 2.825 2.246
1.977 5.139 5.579
1.977 2.244 1.238
1.977 5.698 1.115
1.977 2.803 5.702
0.000 2.284 4.490
0.000 5.179 2.327


Look up the M_tot of the second one. 0.01 μB per cell


M_tot of number 3 (PmSmNO)? 0.08 μB per cell


calculated density of number 2 (Lu2HfTc)? 12.06 g/cm³


The highest calculated density belongs to which entry? Lu2HfTc